[1]
First-principles (PBE) data for crystalline NaEr4PaS8 at its relaxed geometry, as listed in Alexandria via LeMat-Bulk.

Results
Uncorrected energy in eV per atom: -6.25
Uncorrected formation energy in eV/atom: -1.816

CIF file:
```
data_NaEr4PaS8
_chemical_formula_sum 'Na3 Er12 Pa3 S24'
_symmetry_space_group_name_H-M 'R 3 m'
_symmetry_Int_Tables_number 160
_symmetry_space_group_name_Hall 'R 3 -2"'
_cell_length_a 8.0175
_cell_length_b 8.0175
_cell_length_c 19.8842
_cell_angle_alpha 90.00
_cell_angle_beta 90.00
_cell_angle_gamma 120.00
loop_
_atom_site_label
_atom_site_fract_x
_atom_site_fract_y
_atom_site_fract_z
_atom_site_occupancy
Na1 0.0000 0.0000 0.0000 1
Er1 0.0000 0.0000 0.7453 1
Er2 0.0098 0.5049 0.8736 1
Pa1 0.0000 0.0000 0.3704 1
S1 0.0000 0.0000 0.1344 1
S2 0.0000 0.0000 0.6137 1
S3 0.0171 0.5086 0.1270 1
S4 0.1812 0.3624 0.9523 1
```

=====

[2]
First-principles (PBE) data for crystalline NaEr2PaSb4 at its relaxed geometry, as listed in Alexandria via LeMat-Bulk.

Results
Uncorrected energy in eV per atom: -5.25
Uncorrected formation energy in eV/atom: -0.698

CIF file:
```
data_NaEr2PaSb4
_chemical_formula_sum 'Na1 Er2 Pa1 Sb4'
_symmetry_space_group_name_H-M 'P 1 2/m 1'
_symmetry_Int_Tables_number 10
_symmetry_space_group_name_Hall '-P 2y'
_cell_length_a 7.5173
_cell_length_b 4.4081
_cell_length_c 7.6153
_cell_angle_alpha 90.00
_cell_angle_beta 108.64
_cell_angle_gamma 90.00
loop_
_atom_site_label
_atom_site_fract_x
_atom_site_fract_y
_atom_site_fract_z
_atom_site_occupancy
Na1 0.0000 0.0000 0.0000 1
Er1 0.0000 0.5000 0.5000 1
Er2 0.5000 0.0000 0.5000 1
Pa1 0.5000 0.5000 0.0000 1
Sb1 0.2527 0.0000 0.7506 1
Sb2 0.2624 0.5000 0.2542 1
```

=====

[3]
First-principles (PBE) data for crystalline Na2ErPa2Se6 at its relaxed geometry, as listed in Alexandria via LeMat-Bulk.

Results
Uncorrected energy in eV per atom: -5.72
Uncorrected formation energy in eV/atom: -1.434

CIF file:
```
data_Na2ErPa2Se6
_chemical_formula_sum 'Na4 Er2 Pa4 Se12'
_symmetry_space_group_name_H-M 'C 1 2/m 1'
_symmetry_Int_Tables_number 12
_symmetry_space_group_name_Hall '-C 2y'
_cell_length_a 7.1597
_cell_length_b 12.2641
_cell_length_c 7.5090
_cell_angle_alpha 90.00
_cell_angle_beta 107.89
_cell_angle_gamma 90.00
loop_
_atom_site_label
_atom_site_fract_x
_atom_site_fract_y
_atom_site_fract_z
_atom_site_occupancy
Na1 0.0000 0.1671 0.0000 1
Er1 0.0000 0.0000 0.5000 1
Pa1 0.0000 0.3382 0.5000 1
Se1 0.2393 0.1676 0.7259 1
Se2 0.2496 0.0000 0.2666 1
```